This record from the Alexandria database describes an optimized crystal structure of Na2DyAlF8. The functional is PBE.

It has space group P2/m (No. 10), with a = 5.036 Å, b = 6.558 Å, c = 5.088 Å, α = 90.00°, β = 91.26° and γ = 90.00°. The distinct sites, in fractional coordinates, are Na at (0.000, 0.230, 0.000), Dy at (0.500, 0.500, 0.500), Al at (0.500, 0.000, 0.500), F at (0.197, 0.500, 0.203), F at (0.247, 0.000, 0.249) and F at (0.326, 0.214, 0.674).

Its volume is 168.0 Å³/cell. Its mass density is 3.83 Mg/m³. For the total energy, the calculation gives -5.624 eV per atom. As for the formation energy from raw total energies: -334.0 kJ per mole of atoms.